(1)
{"formula": "La7Ho6Tm16", "functional": "GGA-PBE", "state": "relaxed", "dos_ef_per_ev_cell": 50.61, "ef_mev_per_atom": 277, "sg": "Fm-3m, No. 225", "total_magnetization_mub_per_fu": 0.00, "final_energy_ry_per_atom": -0.3180, "lattice": [[-0.402, -7.940, 7.932], [9.494, -4.710, 3.717], [3.690, 2.231, 10.370]], "species": ["La", "La", "La", "La", "La", "La", "La", "Ho", "Ho", "Ho", "Ho", "Ho", "Ho", "Tm", "Tm", "Tm", "Tm", "Tm", "Tm", "Tm", "Tm", "Tm", "Tm", "Tm", "Tm", "Tm", "Tm", "Tm", "Tm"], "fractional_positions": [[0.000, 0.500, 0.500], [0.000, 0.500, 0.000], [0.500, 0.500, 0.000], [0.000, 0.000, 0.000], [0.500, 0.000, 0.000], [0.500, 0.000, 0.500], [0.000, 0.000, 0.500], [0.748, 0.252, 0.252], [0.252, 0.748, 0.252], [0.748, 0.748, 0.252], [0.748, 0.252, 0.748], [0.252, 0.252, 0.748], [0.252, 0.748, 0.748], [0.950, 0.350, 0.350], [0.390, 0.870, 0.870], [0.350, 0.350, 0.350], [0.130, 0.610, 0.130], [0.130, 0.130, 0.610], [0.870, 0.870, 0.870], [0.650, 0.650, 0.650], [0.870, 0.870, 0.390], [0.650, 0.650, 0.050], [0.350, 0.350, 0.950], [0.350, 0.950, 0.350], [0.050, 0.650, 0.650], [0.870, 0.390, 0.870], [0.130, 0.130, 0.130], [0.610, 0.130, 0.130], [0.650, 0.050, 0.650]]}

(2)
{"formula": "La4Ho4Tm3", "functional": "GGA-PBE", "state": "relaxed", "dos_ef_per_ev_cell": 18.64, "ef_mev_per_atom": 71, "sg": "C2/m, No. 12", "total_magnetization_mub_per_fu": 0.00, "final_energy_ry_per_atom": -0.3385, "lattice": [[-2.106, -1.778, -2.182], [-1.590, -3.391, 4.300], [-15.277, 8.590, 4.916]], "species": ["La", "La", "La", "La", "Ho", "Ho", "Ho", "Ho", "Tm", "Tm", "Tm"], "fractional_positions": [[0.730, 0.730, 0.540], [0.592, 0.092, 0.816], [0.270, 0.270, 0.460], [0.408, 0.908, 0.184], [0.682, 0.181, 0.637], [0.545, 0.545, 0.910], [0.455, 0.455, 0.090], [0.318, 0.819, 0.363], [0.000, 0.000, 0.000], [0.864, 0.364, 0.272], [0.136, 0.636, 0.728]]}

(3)
{"formula": "LaHoTm5", "functional": "GGA-PBE", "state": "relaxed", "dos_ef_per_ev_cell": 9.11, "polymorph_energy_kcal_per_mol_atoms": 22.61, "ef_mev_per_atom": 1159, "sg": "Immm, No. 71", "total_magnetization_mub_per_fu": 0.00, "final_energy_ry_per_atom": -0.2494, "lattice": [[-3.880, -1.188, 4.103], [-1.693, -7.655, 0.240], [3.264, -3.776, 6.051]], "species": ["Tm", "Tm", "Tm", "Tm", "Tm", "Ho", "La"], "fractional_positions": [[0.500, 0.179, 0.821], [0.745, 0.255, 0.255], [0.500, 0.821, 0.179], [0.255, 0.745, 0.745], [0.000, 0.500, 0.500], [0.500, 0.500, 0.500], [0.000, 0.000, 0.000]]}

(4)
{"formula": "LaHo5Tm4", "functional": "GGA-PBE", "state": "relaxed", "dos_ef_per_ev_cell": 14.03, "polymorph_energy_kcal_per_mol_atoms": 6.57, "ef_mev_per_atom": 312, "sg": "I4, No. 79", "total_magnetization_mub_per_fu": 0.00, "final_energy_ry_per_atom": -0.3129, "lattice": [[-5.734, -2.138, 1.438], [0.048, -6.922, 3.642], [-2.522, 2.264, 7.049]], "species": ["Tm", "Tm", "Tm", "Tm", "La", "Ho", "Ho", "Ho", "Ho", "Ho"], "fractional_positions": [[0.103, 0.298, 0.404], [0.805, 0.702, 0.596], [0.506, 0.596, 0.298], [0.401, 0.404, 0.702], [0.224, 0.000, 0.000], [0.184, 0.907, 0.621], [0.680, 0.000, 0.000], [0.804, 0.379, 0.907], [0.091, 0.621, 0.093], [0.712, 0.093, 0.379]]}

(5)
{"formula": "La3Ho4Tm5", "functional": "GGA-PBE", "state": "relaxed", "dos_ef_per_ev_cell": 17.57, "ef_mev_per_atom": 285, "sg": "C2/m, No. 12", "total_magnetization_mub_per_fu": 0.03, "final_energy_ry_per_atom": -0.3187, "lattice": [[-5.022, 2.621, 0.063], [-6.284, -5.796, -5.052], [-2.277, 1.546, 8.876]], "species": ["Tm", "Tm", "Tm", "Tm", "Tm", "Ho", "Ho", "Ho", "Ho", "La", "La", "La"], "fractional_positions": [[0.266, 0.400, 0.068], [0.360, 0.051, 0.230], [0.640, 0.949, 0.770], [0.500, 0.500, 0.500], [0.734, 0.600, 0.932], [0.072, 0.150, 0.706], [0.850, 0.199, 0.102], [0.928, 0.850, 0.294], [0.150, 0.801, 0.898], [0.447, 0.735, 0.372], [0.553, 0.265, 0.628], [0.000, 0.500, 0.500]]}

(6)
{"formula": "LaHo5Tm", "functional": "GGA-PBE", "state": "relaxed", "dos_ef_per_ev_cell": 8.97, "polymorph_energy_kcal_per_mol_atoms": 23.61, "ef_mev_per_atom": 1123, "sg": "Immm, No. 71", "total_magnetization_mub_per_fu": 0.00, "final_energy_ry_per_atom": -0.2564, "lattice": [[-4.955, 2.827, 0.952], [-5.664, -2.348, -4.939], [-5.390, -4.659, 3.350]], "species": ["Ho", "Ho", "Ho", "Ho", "Ho", "Tm", "La"], "fractional_positions": [[0.000, 0.500, 0.500], [0.500, 0.179, 0.821], [0.254, 0.746, 0.746], [0.500, 0.821, 0.179], [0.746, 0.254, 0.254], [0.500, 0.500, 0.500], [0.000, 0.000, 0.000]]}

(7)
{"formula": "LaHo4Tm6", "functional": "GGA-PBE", "state": "relaxed", "dos_ef_per_ev_cell": 18.45, "polymorph_energy_kcal_per_mol_atoms": 7.88, "ef_mev_per_atom": 460, "sg": "I-42m, No. 121", "total_magnetization_mub_per_fu": 0.00, "final_energy_ry_per_atom": -0.3007, "lattice": [[7.738, 0.000, 0.000], [0.000, 7.738, 0.000], [-3.869, -3.869, 6.341]], "species": ["Ho", "Ho", "Ho", "Ho", "Tm", "Tm", "Tm", "Tm", "Tm", "Tm", "La"], "fractional_positions": [[0.238, 0.238, 0.148], [0.762, 0.091, 0.852], [0.909, 0.909, 0.148], [0.091, 0.762, 0.852], [0.000, 0.500, 0.000], [0.946, 0.427, 0.373], [0.500, 0.000, 0.000], [0.054, 0.054, 0.627], [0.573, 0.573, 0.627], [0.427, 0.946, 0.373], [0.500, 0.500, 0.000]]}

(8)
{"formula": "LaHo6Tm6", "functional": "GGA-PBE", "state": "relaxed", "dos_ef_per_ev_cell": 20.45, "ef_mev_per_atom": 217, "sg": "Cmmm, No. 65", "total_magnetization_mub_per_fu": 0.00, "final_energy_ry_per_atom": -0.3189, "lattice": [[6.563, 0.254, 0.000], [-3.065, 5.811, 0.000], [0.000, 0.000, 10.922]], "species": ["Tm", "Tm", "Tm", "Tm", "Tm", "Tm", "Ho", "Ho", "Ho", "Ho", "Ho", "Ho", "La"], "fractional_positions": [[0.500, 0.000, 0.228], [0.500, 0.500, 0.301], [0.000, 0.500, 0.228], [0.500, 0.500, 0.699], [0.500, 0.000, 0.772], [0.000, 0.500, 0.772], [0.000, 0.000, 0.339], [0.356, 0.643, 0.000], [0.736, 0.263, 0.500], [0.264, 0.737, 0.500], [0.644, 0.357, 0.000], [0.000, 0.000, 0.661], [0.000, 0.000, 0.000]]}

(9)
{"formula": "La3Ho6Tm2", "functional": "GGA-PBE", "state": "relaxed", "dos_ef_per_ev_cell": 14.56, "ef_mev_per_atom": 25, "sg": "R-3m, No. 166", "total_magnetization_mub_per_fu": 0.00, "final_energy_ry_per_atom": -0.3402, "lattice": [[-3.337, 0.132, -1.300], [-0.885, -1.961, -2.866], [-9.803, -24.740, 17.714]], "species": ["Ho", "Ho", "Ho", "Ho", "Ho", "Ho", "La", "La", "La", "Tm", "Tm"], "fractional_positions": [[0.636, 0.636, 0.092], [0.182, 0.182, 0.455], [0.907, 0.907, 0.278], [0.364, 0.364, 0.908], [0.818, 0.818, 0.545], [0.093, 0.093, 0.722], [0.728, 0.728, 0.815], [0.272, 0.272, 0.185], [0.000, 0.000, 0.000], [0.544, 0.544, 0.367], [0.456, 0.456, 0.633]]}

(10)
{"formula": "La3HoTm", "functional": "GGA-PBE", "state": "relaxed", "dos_ef_per_ev_cell": 30.89, "polymorph_energy_kcal_per_mol_atoms": 2.61, "ef_mev_per_atom": 160, "sg": "Pbcm, No. 57", "total_magnetization_mub_per_fu": 0.00, "final_energy_ry_per_atom": -0.3386, "lattice": [[-0.577, 2.804, -2.178], [-4.876, -6.736, -7.380], [-15.633, 2.812, 7.761]], "species": ["La", "La", "La", "La", "La", "La", "La", "La", "La", "La", "La", "La", "Tm", "Tm", "Tm", "Tm", "Ho", "Ho", "Ho", "Ho"], "fractional_positions": [[0.748, 0.000, 0.750], [0.252, 0.500, 0.250], [0.751, 0.943, 0.425], [0.249, 0.557, 0.925], [0.751, 0.557, 0.425], [0.252, 0.000, 0.250], [0.249, 0.943, 0.925], [0.748, 0.500, 0.750], [0.751, 0.443, 0.075], [0.249, 0.057, 0.575], [0.249, 0.443, 0.575], [0.751, 0.057, 0.075], [0.253, 0.750, 0.103], [0.747, 0.750, 0.603], [0.747, 0.250, 0.897], [0.253, 0.250, 0.397], [0.246, 0.750, 0.774], [0.754, 0.250, 0.226], [0.246, 0.250, 0.726], [0.754, 0.750, 0.274]]}

(11)
{"formula": "La2Ho2Tm5", "functional": "GGA-PBE", "state": "relaxed", "dos_ef_per_ev_cell": 32.23, "ef_mev_per_atom": 212, "sg": "Ima2, No. 46", "total_magnetization_mub_per_fu": 0.00, "final_energy_ry_per_atom": -0.3222, "lattice": [[11.796, 0.000, 0.000], [0.000, 6.710, 0.000], [-5.898, -3.355, 7.437]], "species": ["La", "La", "La", "La", "Tm", "Tm", "Tm", "Tm", "Tm", "Tm", "Tm", "Tm", "Tm", "Tm", "Ho", "Ho", "Ho", "Ho"], "fractional_positions": [[0.873, 0.434, 0.745], [0.127, 0.689, 0.255], [0.628, 0.189, 0.255], [0.372, 0.934, 0.745], [0.624, 0.741, 0.714], [0.376, 0.027, 0.286], [0.409, 0.527, 0.286], [0.797, 0.757, 0.106], [0.591, 0.241, 0.714], [0.995, 0.163, 0.500], [0.809, 0.257, 0.106], [0.191, 0.151, 0.894], [0.005, 0.663, 0.500], [0.203, 0.651, 0.894], [0.000, 0.017, 0.000], [0.261, 0.357, 0.500], [0.500, 0.517, 0.000], [0.739, 0.857, 0.500]]}

(12)
{"formula": "La8Ho3Tm2", "functional": "GGA-PBE", "state": "relaxed", "dos_ef_per_ev_cell": 16.71, "polymorph_energy_kcal_per_mol_atoms": 0.88, "ef_mev_per_atom": 181, "sg": "C2/m, No. 12", "total_magnetization_mub_per_fu": 0.00, "final_energy_ry_per_atom": -0.3378, "lattice": [[-3.801, -0.429, 4.400], [3.625, -6.395, 2.508], [4.291, 8.942, 4.575]], "species": ["La", "La", "La", "La", "La", "La", "La", "La", "Ho", "Ho", "Ho", "Tm", "Tm"], "fractional_positions": [[0.500, 0.805, 0.212], [0.500, 0.195, 0.788], [0.500, 0.593, 0.788], [0.000, 0.130, 0.260], [0.000, 0.870, 0.740], [0.999, 0.324, 0.649], [0.001, 0.676, 0.351], [0.500, 0.407, 0.212], [0.000, 0.716, 0.000], [0.500, 0.000, 0.000], [0.000, 0.284, 0.000], [0.501, 0.761, 0.522], [0.499, 0.239, 0.478]]}

(13)
{"formula": "La2Ho3Tm4", "functional": "GGA-PBE", "state": "relaxed", "dos_ef_per_ev_cell": 16.80, "polymorph_energy_kcal_per_mol_atoms": 3.45, "ef_mev_per_atom": 185, "sg": "Fmmm, No. 69", "total_magnetization_mub_per_fu": 0.00, "final_energy_ry_per_atom": -0.3251, "lattice": [[-5.768, -0.635, 3.712], [0.869, -1.377, -6.694], [4.423, -6.452, 3.282]], "species": ["Tm", "Tm", "Tm", "Tm", "Ho", "Ho", "Ho", "La", "La"], "fractional_positions": [[0.956, 0.669, 0.624], [0.669, 0.956, 0.624], [0.044, 0.331, 0.376], [0.331, 0.044, 0.376], [0.500, 0.000, 0.000], [0.000, 0.000, 0.000], [0.000, 0.500, 0.000], [0.384, 0.384, 0.769], [0.616, 0.616, 0.231]]}

(14)
{"formula": "La2HoTm8", "functional": "GGA-PBE", "state": "relaxed", "dos_ef_per_ev_cell": 17.05, "polymorph_energy_kcal_per_mol_atoms": 0.00, "ef_mev_per_atom": 37, "sg": "C2/m, No. 12", "total_magnetization_mub_per_fu": 0.00, "final_energy_ry_per_atom": -0.3327, "lattice": [[-2.156, -2.741, 3.604], [6.182, -4.941, -0.060], [3.173, 7.712, 4.274]], "species": ["Ho", "La", "La", "Tm", "Tm", "Tm", "Tm", "Tm", "Tm", "Tm", "Tm"], "fractional_positions": [[0.500, 0.000, 0.000], [0.773, 0.363, 0.546], [0.227, 0.637, 0.454], [0.043, 0.728, 0.086], [0.680, 0.907, 0.360], [0.957, 0.272, 0.914], [0.866, 0.825, 0.732], [0.320, 0.093, 0.640], [0.412, 0.547, 0.823], [0.134, 0.175, 0.268], [0.588, 0.453, 0.177]]}

(15)
{"formula": "LaHo3Tm6", "functional": "GGA-PBE", "state": "relaxed", "dos_ef_per_ev_cell": 25.27, "polymorph_energy_kcal_per_mol_atoms": 0.00, "ef_mev_per_atom": 138, "sg": "Cmc2_1, No. 36", "total_magnetization_mub_per_fu": 0.00, "final_energy_ry_per_atom": -0.3242, "lattice": [[-3.806, 7.990, -0.146], [-3.357, -1.450, 8.168], [8.073, 3.838, -0.421]], "species": ["Tm", "Tm", "Tm", "Tm", "Tm", "Tm", "Tm", "Tm", "Tm", "Tm", "Tm", "Tm", "Ho", "Ho", "Ho", "Ho", "Ho", "Ho", "La", "La"], "fractional_positions": [[0.604, 0.187, 0.304], [0.604, 0.696, 0.813], [0.276, 0.528, 0.827], [0.104, 0.304, 0.187], [0.142, 0.711, 0.289], [0.642, 0.289, 0.711], [0.276, 0.173, 0.472], [0.104, 0.813, 0.696], [0.776, 0.472, 0.173], [0.776, 0.827, 0.528], [0.288, 0.948, 0.052], [0.788, 0.052, 0.948], [0.417, 0.547, 0.453], [0.935, 0.030, 0.313], [0.935, 0.687, 0.970], [0.435, 0.313, 0.030], [0.435, 0.970, 0.687], [0.917, 0.453, 0.547], [0.009, 0.225, 0.775], [0.509, 0.775, 0.225]]}

(16)
{"formula": "La2Ho3Tm6", "functional": "GGA-PBE", "state": "relaxed", "dos_ef_per_ev_cell": 17.74, "polymorph_energy_kcal_per_mol_atoms": 0.00, "ef_mev_per_atom": 187, "sg": "C2/m, No. 12", "total_magnetization_mub_per_fu": 0.01, "final_energy_ry_per_atom": -0.3231, "lattice": [[-5.507, -2.515, 0.087], [-0.713, -5.784, -1.655], [-0.150, -4.177, 10.949]], "species": ["La", "La", "Ho", "Ho", "Ho", "Tm", "Tm", "Tm", "Tm", "Tm", "Tm"], "fractional_positions": [[0.833, 0.334, 0.500], [0.167, 0.666, 0.500], [0.335, 0.330, 0.000], [0.665, 0.670, 0.000], [0.000, 0.000, 0.000], [0.585, 0.333, 0.244], [0.919, 0.667, 0.244], [0.748, 0.000, 0.756], [0.252, 0.000, 0.244], [0.081, 0.333, 0.756], [0.415, 0.667, 0.756]]}

(17)
{"formula": "La2Ho2Tm3", "functional": "GGA-PBE", "state": "relaxed", "dos_ef_per_ev_cell": 10.54, "polymorph_energy_kcal_per_mol_atoms": 2.02, "ef_mev_per_atom": 301, "sg": "P2/m, No. 10", "total_magnetization_mub_per_fu": 0.06, "final_energy_ry_per_atom": -0.3184, "lattice": [[5.960, 0.000, 2.193], [0.000, 3.554, 0.000], [2.270, 0.000, 12.114]], "species": ["Ho", "Ho", "La", "La", "Tm", "Tm", "Tm"], "fractional_positions": [[0.318, 0.000, 0.181], [0.682, 0.000, 0.819], [0.730, 0.500, 0.269], [0.270, 0.500, 0.731], [0.000, 0.000, 0.000], [0.756, 0.000, 0.500], [0.244, 0.000, 0.500]]}

(18)
{"formula": "La4HoTm4", "functional": "GGA-PBE", "state": "relaxed", "dos_ef_per_ev_cell": 13.68, "polymorph_energy_kcal_per_mol_atoms": 16.13, "ef_mev_per_atom": 734, "sg": "I-42m, No. 121", "total_magnetization_mub_per_fu": 0.00, "final_energy_ry_per_atom": -0.2905, "lattice": [[5.451, 0.000, -2.698], [-1.335, 5.285, -2.698], [1.741, 2.235, 10.374]], "species": ["Tm", "Tm", "Tm", "Tm", "La", "La", "La", "La", "Ho"], "fractional_positions": [[0.526, 0.888, 0.413], [0.888, 0.526, 0.413], [0.112, 0.112, 0.587], [0.474, 0.474, 0.587], [0.500, 0.000, 0.000], [0.857, 0.857, 0.714], [0.143, 0.143, 0.286], [0.000, 0.500, 0.000], [0.000, 0.000, 0.000]]}

(19)
{"formula": "La3Ho3Tm", "functional": "GGA-PBE", "state": "relaxed", "dos_ef_per_ev_cell": 21.25, "ef_mev_per_atom": 266, "sg": "R-3, No. 148", "total_magnetization_mub_per_fu": 0.00, "final_energy_ry_per_atom": -0.3268, "lattice": [[7.836, 0.339, 3.836], [2.534, 7.423, 3.836], [0.454, 0.339, 8.713]], "species": ["La", "La", "La", "La", "La", "La", "Ho", "Ho", "Ho", "Ho", "Ho", "Ho", "Tm", "Tm"], "fractional_positions": [[0.933, 0.701, 0.195], [0.701, 0.195, 0.933], [0.195, 0.933, 0.701], [0.805, 0.067, 0.299], [0.299, 0.805, 0.067], [0.067, 0.299, 0.805], [0.949, 0.266, 0.430], [0.266, 0.430, 0.949], [0.430, 0.949, 0.266], [0.051, 0.734, 0.570], [0.570, 0.051, 0.734], [0.734, 0.570, 0.051], [0.645, 0.645, 0.645], [0.355, 0.355, 0.355]]}

(20)
{"formula": "La4Ho4Tm", "functional": "GGA-PBE", "state": "relaxed", "dos_ef_per_ev_cell": 13.04, "polymorph_energy_kcal_per_mol_atoms": 0.00, "ef_mev_per_atom": 30, "sg": "I4/mmm, No. 139", "total_magnetization_mub_per_fu": 0.00, "final_energy_ry_per_atom": -0.3448, "lattice": [[-4.996, 0.852, -0.783], [-1.482, -0.542, -7.926], [-3.898, -7.068, 0.382]], "species": ["La", "La", "La", "La", "Ho", "Ho", "Ho", "Ho", "Tm"], "fractional_positions": [[0.333, 0.000, 0.334], [0.667, 0.666, 0.000], [0.667, 0.000, 0.666], [0.333, 0.334, 0.000], [0.336, 0.664, 0.664], [0.000, 0.664, 0.336], [0.000, 0.336, 0.664], [0.664, 0.336, 0.336], [0.000, 0.000, 0.000]]}